{"formula": "SrTb2Sm3Se6", "functional": "GGA-PBE", "state": "relaxed", "formation_energy_uncorrected_ev_per_atom": -1.820, "mass_density_g_cm3": 7.1, "lattice": [[3.608, -6.260, 0.000], [3.608, 6.260, 0.000], [-2.405, 0.000, 6.870]], "species": ["Sr", "Tb", "Tb", "Sm", "Sm", "Sm", "Se", "Se", "Se", "Se", "Se", "Se"], "frac_coords": [[0.000, 0.000, 0.000], [0.333, 0.667, 0.000], [0.667, 0.333, 0.000], [0.160, 0.840, 0.500], [0.500, 0.500, 0.500], [0.840, 0.160, 0.500], [0.083, 0.426, 0.251], [0.261, 0.261, 0.757], [0.426, 0.083, 0.251], [0.574, 0.917, 0.749], [0.739, 0.739, 0.243], [0.917, 0.574, 0.749]]}

{"formula": "Sr3Tb2SmSe6", "functional": "GGA-PBE", "state": "relaxed", "formation_energy_uncorrected_ev_per_atom": -1.898, "mass_density_g_cm3": 6.1, "lattice": [[3.665, -6.341, 0.000], [3.665, 6.341, 0.000], [-2.445, 0.000, 7.084]], "species": ["Sr", "Sr", "Sr", "Tb", "Tb", "Sm", "Se", "Se", "Se", "Se", "Se", "Se"], "frac_coords": [[0.000, 0.000, 0.000], [0.335, 0.665, 0.000], [0.665, 0.335, 0.000], [0.167, 0.833, 0.500], [0.833, 0.167, 0.500], [0.500, 0.500, 0.500], [0.084, 0.422, 0.266], [0.240, 0.240, 0.733], [0.422, 0.084, 0.266], [0.578, 0.916, 0.734], [0.760, 0.760, 0.267], [0.916, 0.578, 0.734]]}

{"formula": "SrSmTeSe", "functional": "GGA-PBE", "state": "relaxed", "formation_energy_uncorrected_ev_per_atom": -1.613, "mass_density_g_cm3": 5.9, "lattice": [[2.146, 1.239, 7.853], [-2.146, 1.239, 7.853], [0.000, -2.479, 7.853]], "species": ["Sr", "Sm", "Te", "Se"], "frac_coords": [[0.000, 0.000, 0.000], [0.163, 0.163, 0.163], [0.577, 0.577, 0.577], [0.754, 0.754, 0.754]]}